Run a
## LaMg2Hg2 (PBE)

Data for LaMg2Hg2 after structural relaxation.

The calculation puts the total moment at 0.0 μB/f.u.

Unit cell a=8.6369 b=8.6369 c=3.3716 alpha=90.00 beta=90.00 gamma=90.00
Closest atoms and distances in Å follow each position.
Space group P4/mbm (No. 127)
One atom of each set of equivalent atoms:
La1 0.0000 0.0000 0.0000  4 Hg 3.34, 2 La 3.37, 8 Mg 3.67
Mg1 0.1560 0.3440 0.5000  6 Hg 3.02-3.06, 2 Mg 3.37
Hg1 0.1386 0.6386 0.0000  6 Mg 3.02-3.06, 2 La 3.34, 3 Hg 3.37-3.39

=====

Run b
## LaMg2Hg2 (PBE)

Data for LaMg2Hg2 after structural relaxation.

The calculation puts the total moment at 0.0 μB/f.u.

Unit cell a=4.4199 b=4.4199 c=6.6309 alpha=90.00 beta=90.00 gamma=90.00
Closest atoms and distances in Å follow each position.
Space group P4/mmm (No. 123)
One atom of each set of equivalent atoms:
La1 0.0000 0.0000 0.0000  8 Hg 3.44
Mg1 0.0000 0.5000 0.5000  4 Hg 2.89, 4 Mg 3.13
Hg1 0.5000 0.5000 0.2184  4 Mg 2.89, 1 Hg 2.90

=====

run b comes first in stability; the runner-up is 98 meV per atom higher.

=====

Run a
## LaMgHg3 (PBE)

Data for LaMgHg3 after structural relaxation.

The calculation puts the total moment at 0.1 μB/f.u.

Unit cell a=6.0860 b=6.0860 c=6.0860 alpha=90.00 beta=90.00 gamma=90.00
Closest atoms and distances in Å follow each position.
Space group Pm-3m (No. 221)
One atom of each set of equivalent atoms:
La1 0.0000 0.0000 0.0000  6 Hg 3.04
Mg1 0.5000 0.5000 0.5000  12 Hg 4.30
Hg1 0.0000 0.0000 0.5000  2 La 3.04

=====

Run b
## LaMgHg3 (PBE)

Data for LaMgHg3 after structural relaxation.

The calculation puts the total moment at 0.0 μB/f.u.

Unit cell a=5.2044 b=5.2044 c=5.2044 alpha=90.00 beta=90.00 gamma=90.00
Closest atoms and distances in Å follow each position.
Space group Pm-3m (No. 221)
One atom of each set of equivalent atoms:
La1 0.0000 0.0000 0.0000  12 Hg 3.68
Mg1 0.5000 0.5000 0.5000  6 Hg 2.60
Hg1 0.0000 0.5000 0.5000  2 Mg 2.60

=====

Run c
## LaMgHg3 (PBE)

Data for LaMgHg3 after structural relaxation.

The calculation puts the total moment at 0.0 μB/f.u.

Unit cell a=24.9487 b=4.3137 c=4.9707 alpha=90.00 beta=101.49 gamma=90.00
Closest atoms and distances in Å follow each position.
Space group C2/m (No. 12)
One atom of each set of equivalent atoms:
La1 0.0818 0.0000 0.3299  8 Hg 3.48-3.53, 4 Mg 3.58
Mg1 0.1398 0.5000 0.8882  5 Hg 2.68-2.85
Hg1 0.0301 0.5000 0.7798  1 Mg 2.68, 2 Hg 2.89
Hg2 0.1964 0.5000 0.4462  2 Mg 2.84-2.85
Hg3 0.2081 0.0000 0.9628  2 Mg 2.73, 2 Hg 2.97

=====

run c comes first in stability; the runner-up is 174 meV per atom higher.

=====

Run a
## LaMg4Hg2 (PBE)

Data for LaMg4Hg2 after structural relaxation.

The calculation puts the total moment at 0.0 μB/f.u.

Unit cell a=4.4784 b=17.6264 c=4.4365 alpha=90.00 beta=90.00 gamma=90.00
Closest atoms and distances in Å follow each position.
Space group Cmmm (No. 65)
One atom of each set of equivalent atoms:
La1 0.0000 0.0000 0.0000  8 Hg 3.47
Mg1 0.0000 0.1826 0.5000  2 Hg 2.86, 4 Mg 3.15
Mg2 0.0000 0.3150 0.0000  2 Hg 2.87, 6 Mg 3.15-3.20
Hg1 0.0000 0.4181 0.5000  4 Mg 2.86-2.87, 1 Hg 2.89

=====

Run b
## LaMg4Hg2 (PBE)

Data for LaMg4Hg2 after structural relaxation.

The calculation puts the total moment at 0.0 μB/f.u.

Unit cell a=8.5367 b=8.5367 c=4.6835 alpha=90.00 beta=90.00 gamma=90.00
Closest atoms and distances in Å follow each position.
Space group P4_2/mnm (No. 136)
One atom of each set of equivalent atoms:
La1 0.0000 0.0000 0.0000  6 Hg 3.45-3.49, 12 Mg 3.74-3.82
Mg1 0.0920 0.3420 0.5000  3 Hg 2.83-2.91, 2 Mg 3.02-3.12
Hg1 0.2138 0.7862 0.5000  6 Mg 2.83-2.91

=====

run b comes first in stability; the runner-up is 31 meV per atom higher.

=====

Run a
## La2Mg2Hg (PBE)

Data for La2Mg2Hg after structural relaxation.

The calculation puts the total moment at 0.0 μB/f.u.

Unit cell a=9.3214 b=5.3848 c=6.5093 alpha=90.00 beta=118.35 gamma=90.00
Closest atoms and distances in Å follow each position.
Space group C2/m (No. 12)
One atom of each set of equivalent atoms:
La1 0.0961 0.0000 0.2886  1 La 3.31, 3 Hg 3.33-3.34, 6 Mg 3.44-3.61
Mg1 0.1774 0.5000 0.0322  1 Hg 3.05, 3 Mg 3.13
Hg1 0.0000 0.5000 0.5000  2 Mg 3.05, 6 La 3.33-3.34

=====

Run b
## La2Mg2Hg (PBE)

Data for La2Mg2Hg after structural relaxation.

The calculation puts the total moment at 0.0 μB/f.u.

Unit cell a=8.1022 b=8.1022 c=4.9730 alpha=90.00 beta=90.00 gamma=90.00
Closest atoms and distances in Å follow each position.
Space group P4/mbm (No. 127)
One atom of each set of equivalent atoms:
La1 0.1306 0.3694 0.0000  1 La 2.99, 2 Hg 3.17
Mg1 0.1607 0.6607 0.5000  6 La 3.44-3.45, 1 Mg 3.68
Hg1 0.0000 0.0000 0.0000  4 La 3.17

=====

Run c
## La2Mg2Hg (PBE)

Data for La2Mg2Hg after structural relaxation.

The calculation puts the total moment at 0.0 μB/f.u.

Unit cell a=7.3368 b=7.3368 c=5.3030 alpha=90.00 beta=90.00 gamma=90.00
Closest atoms and distances in Å follow each position.
Space group P4/mbm (No. 127)
One atom of each set of equivalent atoms:
La1 0.1621 0.3379 0.0000  6 Mg 3.34-3.47, 1 La 3.36
Mg1 0.1423 0.6423 0.5000  2 Hg 2.82, 1 Mg 2.95
Hg1 0.0000 0.0000 0.5000  4 Mg 2.82

=====

run a comes first in stability; the runner-up is 59 meV per atom higher.